Entry from the Alexandria database: a geometry-optimized TaRu structure (GGA-PBEsol).

As for the crystal system: cubic. The formation energy is -0.2513 eV/atom. As for the volume: 15.5 Å³/atom.

The structure belongs to space group Pm-3m (No. 221); the cell edges are 3.138, 3.138 and 3.138 Å and the angles 90.00°, 90.00° and 90.00°. The asymmetric unit holds Ta at (0.000, 0.000, 0.000) and Ru at (0.500, 0.500, 0.500).